First-principles (PBE-GGA) data for an optimized crystal structure of LiMg4Ga, as listed in Alexandria.

Output
Distance to the lowest polymorph of the same formula = 89 meV per atom
Symmetry = C2/c, No. 15
Energy of formation = -0.1 eV/f.u.
Calculated volume = 21.06 Å³ per atom

Geometry as POSCAR:
```
LiMg4Ga
1.0
-2.282 -5.000 0.787
5.888 -0.373 -5.208
2.198 1.584 6.813
Li Ga Mg
2 2 8
direct
0.250 0.000 0.999
0.750 0.000 0.001
0.359 0.609 0.217
0.641 0.391 0.783
0.761 0.395 0.189
0.239 0.605 0.811
0.929 0.794 0.189
0.237 0.290 0.382
0.645 0.092 0.382
0.071 0.206 0.811
0.355 0.908 0.618
0.763 0.710 0.618
```